A plane-wave DFT calculation with PBE was carried out for an optimized crystal structure of Mn8NbMo3.

Lattice parameters (Å, degrees): 4.7369 4.7369 7.7829 90.00 90.00 120.00
Space group P3m1 (No. 156)
One atom of each set of equivalent atoms:
Mn 0.0000 0.0000 0.0000 x1
Mn 0.0000 0.0000 0.4995 x1
Mn 0.1723 0.3446 0.2501 x3
Mn 0.3435 0.1717 0.7462 x3
Nb 0.6667 0.3333 0.0608 x1
Mo 0.3333 0.6667 0.5624 x1
Mo 0.3333 0.6667 0.9292 x1
Mo 0.6667 0.3333 0.4357 x1

## Properties
**VASP energy**: -9.74 eV/atom
**Formation energy**: -0.0776 eV/atom
**Magnetic moment**: 0.00 Bohr magnetons per cell

=====

A plane-wave DFT calculation with PBE was carried out for an optimized crystal structure of MnNbMo2.

Lattice parameters (Å, degrees): 6.2378 6.2378 6.2378 90.00 90.00 90.00
Space group Fm-3m (No. 225)
One atom of each set of equivalent atoms:
Mn 0.0000 0.0000 0.0000 x4
Nb 0.0000 0.0000 0.5000 x4
Mo 0.2500 0.2500 0.2500 x8

## Properties
**VASP energy**: -10.15 eV/atom
**Formation energy**: 0.0767 eV/atom
**Magnetic moment**: 0.00 Bohr magnetons per cell
**Distance to the lowest polymorph of the same formula**: 8.4 meV per atom

=====

A plane-wave DFT calculation with PBE was carried out for an optimized crystal structure of MnNbMo2.

Lattice parameters (Å, degrees): 4.4190 4.4190 3.1687 90.00 90.00 90.00
Space group P4/mmm (No. 123)
One atom of each set of equivalent atoms:
Mn 0.0000 0.0000 0.0000 x1
Nb 0.5000 0.5000 0.0000 x1
Mo 0.0000 0.5000 0.5000 x2

## Properties
**VASP energy**: -10.16 eV/atom
**Formation energy**: 0.0684 eV/atom
**Magnetic moment**: 1.19 Bohr magnetons per cell
**Distance to the lowest polymorph of the same formula**: 0.0 meV per atom

=====

Question: What is the VASP energy in the first record?
Answer: -9.74 eV/atom

=====

Question: VASP energy of number 1 (Mn8NbMo3)?
Answer: -9.74 eV/atom

=====

Question: Number 3 is which compound?
Answer: MnNbMo2